[1]
A plane-wave DFT calculation with PBE was carried out for Li3CePm2Te6 after structural relaxation.

Results
- total DFT energy (no corrections) (eV for the cell shown) = -55.3
- space group = C2/m (12)
- ρ (g cm⁻³) = 5.549

a b c (Å): 7.7059 7.7059 7.5309
angles (deg): 99.81 99.81 120.01
Each line ends with the local moment (μB).
Sites, in units of the cell vectors:
Li1 0.1680 0.8320 0.5000  0.00
Li2 0.8320 0.1680 0.5000  0.00
Li3 0.5000 0.5000 0.5000  0.00
Ce1 0.0000 0.0000 0.0000  0.92
Pm1 0.3335 0.6665 0.0000  0.01
Pm2 0.6665 0.3335 0.0000  0.01
Te1 0.9130 0.5778 0.7386  -0.01
Te2 0.7521 0.7521 0.2615  -0.01
Te3 0.0870 0.4222 0.2614  -0.01
Te4 0.5778 0.9130 0.7386  -0.01
Te5 0.2479 0.2479 0.7385  -0.01
Te6 0.4222 0.0870 0.2614  -0.01



[2]
A plane-wave DFT calculation with PBE was carried out for LiCePm2Tl4 after structural relaxation.

Results
- ΔE_f (eV per atom) = -0.31
- space group = R-3m (166)
- ρ (g cm⁻³) = 9.276

a b c (Å): 5.3256 5.3256 9.6469
angles (deg): 73.98 73.98 60.00
Each line ends with the local moment (μB).
Sites, in units of the cell vectors:
Li1 0.5000 0.5000 0.5000  0.00
Ce1 0.0000 0.0000 0.0000  0.81
Pm1 0.7565 0.7565 0.7305  0.01
Pm2 0.2435 0.2435 0.2695  0.01
Tl1 0.3766 0.3766 0.8702  0.01
Tl2 0.8730 0.8730 0.3809  0.00
Tl3 0.1270 0.1270 0.6191  0.00
Tl4 0.6234 0.6234 0.1298  0.01



[3]
A plane-wave DFT calculation with PBE was carried out for LiCePmTl after structural relaxation.

Results
- ΔE_f (eV per atom) = 0.06
- space group = F-43m (216)
- ρ (g cm⁻³) = 7.685

a b c (Å): 5.3334 5.3334 5.3334
angles (deg): 60.00 60.00 60.00
Each line ends with the local moment (μB).
Sites, in units of the cell vectors:
Tl1 0.2500 0.2500 0.2500  -0.01
Li1 0.0000 0.0000 0.0000  0.02
Ce1 0.5000 0.5000 0.5000  1.30
Pm1 0.7500 0.7500 0.7500  0.67



[4]
A plane-wave DFT calculation with PBE was carried out for Li2CePmTl4 after structural relaxation.

Results
- ΔE_f (eV per atom) = -0.30
- space group = R-3m (166)
- ρ (g cm⁻³) = 8.925

a b c (Å): 5.2806 5.2806 9.1263
angles (deg): 73.18 73.18 60.00
Each line ends with the local moment (μB).
Sites, in units of the cell vectors:
Li1 0.7507 0.7507 0.7480  0.00
Li2 0.2493 0.2493 0.2520  0.00
Ce1 0.0000 0.0000 0.0000  0.88
Pm1 0.5000 0.5000 0.5000  -0.01
Tl1 0.3749 0.3749 0.8754  0.01
Tl2 0.8746 0.8746 0.3762  0.00
Tl3 0.1254 0.1254 0.6238  0.00
Tl4 0.6251 0.6251 0.1246  0.01



[5]
A plane-wave DFT calculation with PBE was carried out for Li2Ce2PmTl2 after structural relaxation.

Results
- ΔE_f (eV per atom) = -0.19
- space group = R-3m (166)
- ρ (g cm⁻³) = 8.113

a b c (Å): 4.6513 4.6513 9.6440
angles (deg): 76.05 76.05 60.00
Each line ends with the local moment (μB).
Sites, in units of the cell vectors:
Li1 0.5857 0.5857 0.2428  -0.01
Li2 0.4143 0.4143 0.7572  -0.01
Ce1 0.1447 0.1447 0.5659  0.61
Ce2 0.8553 0.8553 0.4341  0.61
Pm1 0.0000 0.0000 0.0000  0.00
Tl1 0.7360 0.7360 0.7920  -0.02
Tl2 0.2640 0.2640 0.2080  -0.02



[6]
A plane-wave DFT calculation with PBE was carried out for Li2CePm2Tl2 after structural relaxation.

Results
- ΔE_f (eV per atom) = -0.16
- space group = R-3m (166)
- ρ (g cm⁻³) = 7.511

a b c (Å): 4.9825 4.9825 9.2295
angles (deg): 74.34 74.34 60.00
Each line ends with the local moment (μB).
Sites, in units of the cell vectors:
Li1 0.6051 0.6051 0.1847  0.00
Li2 0.3949 0.3949 0.8153  0.00
Ce1 0.0000 0.0000 0.0000  0.86
Pm1 0.1261 0.1261 0.6218  0.13
Pm2 0.8739 0.8739 0.3782  0.13
Tl1 0.7358 0.7358 0.7927  -0.01
Tl2 0.2642 0.2642 0.2073  -0.01